Entry 1:
A plane-wave DFT calculation with GGA-PBE was carried out for MgSi2As after structural relaxation.

Values from the calculation:
Energy above the lowest structure with this stoichiometry = 16.5 kJ per mole of atoms
V = 17.589 A^3/atom
E_form (uncorrected) = 249 meV/atom
Calculated total energy = -4.024 eV per atom

CIF file:
```
data_MgSi2As
_cell_length_a 3.083
_cell_length_b 3.083
_cell_length_c 7.400
_cell_angle_alpha 90.00
_cell_angle_beta 90.00
_cell_angle_gamma 90.00
_space_group_name_H-M_alt 'P 4 m m'
_space_group_IT_number 99
loop_
_space_group_symop_operation_xyz
'x,y,z'
'-y,x,z'
'-x,-y,z'
'y,-x,z'
'-x,y,z'
'y,x,z'
'x,-y,z'
'-y,-x,z'
loop_
_atom_site_label
_atom_site_type_symbol
_atom_site_fract_x
_atom_site_fract_y
_atom_site_fract_z
Mg1 Mg 0.000 0.000 0.000
Si1 Si 0.000 0.000 0.450
Si2 Si 0.500 0.500 0.265
As1 As 0.500 0.500 0.733
```

***

Entry 2:
A plane-wave DFT calculation with GGA-PBE was carried out for Mg2SiAs after structural relaxation.

Values from the calculation:
Energy above the lowest structure with this stoichiometry = 9.5 kJ per mole of atoms
V = 18.965 A^3/atom
E_form (uncorrected) = -48 meV/atom
Calculated total energy = -3.364 eV per atom

CIF file:
```
data_Mg2SiAs
_cell_length_a 2.926
_cell_length_b 5.092
_cell_length_c 5.091
_cell_angle_alpha 90.00
_cell_angle_beta 90.00
_cell_angle_gamma 90.00
_space_group_name_H-M_alt 'P m m 2'
_space_group_IT_number 25
loop_
_space_group_symop_operation_xyz
'x,y,z'
'-x,-y,z'
'-x,y,z'
'x,-y,z'
loop_
_atom_site_label
_atom_site_type_symbol
_atom_site_fract_x
_atom_site_fract_y
_atom_site_fract_z
Mg1 Mg 0.000 0.000 0.000
Mg2 Mg 0.000 0.500 0.499
Si1 Si 0.500 0.500 0.999
As1 As 0.500 0.000 0.500
```

***

Entry 3:
A plane-wave DFT calculation with GGA-PBE was carried out for Mg2SiAs after structural relaxation.

Values from the calculation:
Energy above the lowest structure with this stoichiometry = 22.2 kJ per mole of atoms
V = 20.416 A^3/atom
E_form (uncorrected) = 83 meV/atom
Calculated total energy = -3.232 eV per atom

CIF file:
```
data_Mg2SiAs
_cell_length_a 7.422
_cell_length_b 7.422
_cell_length_c 5.930
_cell_angle_alpha 90.00
_cell_angle_beta 90.00
_cell_angle_gamma 90.00
_space_group_name_H-M_alt 'I -4 2 d'
_space_group_IT_number 122
_space_group_name_Hall 'I -4 2bw'
loop_
_atom_site_label
_atom_site_type_symbol
_atom_site_fract_x
_atom_site_fract_y
_atom_site_fract_z
Mg1 Mg 0.237 0.750 0.125
Si1 Si 0.000 0.000 0.500
As1 As 0.000 0.000 0.000
```